(1)
9
Lattice="6.386 0.000 0.000 0.000 6.386 0.000 0.000 0.000 6.386" Properties=species:S:1:pos:R:3 comment="PBE TlOsAu3Se4, optimized geometry" spacegroup=P-43m e_tot_ev_per_cell=-35.46 total_magnetization_mub_per_fu=0.00 pbc="T T T"
Au 3.193 3.193 0.000
Au 3.193 0.000 3.193
Au 0.000 3.193 3.193
Os 3.193 3.193 3.193
Se 1.806 1.806 1.806
Se 4.580 4.580 1.806
Se 4.580 1.806 4.580
Se 1.806 4.580 4.580
Tl 0.000 0.000 0.000



(2)
18
Lattice="4.204 -3.379 0.000 4.204 3.379 0.000 0.000 0.000 6.963" Properties=species:S:1:pos:R:3 comment="PBE Li4PrO4, optimized geometry" spacegroup=Cmcm e_tot_ev_per_cell=-100.89 total_magnetization_mub_per_fu=1.00 pbc="T T T"
Li 1.291 0.000 0.000
Li 7.117 0.000 0.000
Li 2.989 1.789 1.741
Li 5.419 1.789 1.741
Li 1.291 0.000 3.481
Li 7.117 0.000 3.481
Li 2.989 -1.789 5.222
Li 5.419 -1.789 5.222
O 4.204 1.894 0.281
O 2.120 0.105 1.741
O 6.288 0.105 1.741
O 4.204 1.894 3.200
O 4.204 -1.894 3.762
O 2.120 -0.105 5.222
O 6.288 -0.105 5.222
O 4.204 -1.894 6.682
Pr 4.204 -0.932 1.741
Pr 4.204 0.932 5.222



(3)
8
Lattice="4.372 0.000 0.000 -2.186 3.787 0.000 0.000 0.000 8.139" Properties=species:S:1:pos:R:3 comment="PBE HoScIn2Ni4, optimized geometry" spacegroup=P-6m2 e_tot_ev_per_cell=-41.95 total_magnetization_mub_per_fu=0.00 pbc="T T T"
Ho 0.000 0.000 0.000
In 0.000 2.524 2.139
In 0.000 2.524 6.000
Ni 2.186 1.262 1.380
Ni 0.000 0.000 2.827
Ni 0.000 0.000 5.312
Ni 2.186 1.262 6.759
Sc 2.186 1.262 4.069



(4)
12
Lattice="-1.542 3.409 -2.837 -2.901 -1.923 3.151 4.605 11.405 11.200" Properties=species:S:1:pos:R:3 comment="PBE LaSmZn2Pb2, optimized geometry" spacegroup=P6_3/mmc e_tot_ev_per_cell=-44.87 polymorph_energy_ev_per_atom=0.031 total_magnetization_mub_per_fu=0.00 pbc="T T T"
La 1.151 2.851 2.800
La 3.454 8.554 8.400
Pb -1.945 1.101 2.379
Pb -0.649 4.310 5.531
Pb 0.811 8.580 5.983
Pb 2.107 11.789 9.135
Sm 0.000 0.000 0.000
Sm 2.302 5.702 5.600
Zn -1.260 3.452 0.947
Zn -0.428 5.513 2.971
Zn 0.590 7.377 8.543
Zn 1.422 9.438 10.567